Density functional theory data (PBE-GGA) for Ho3CoRh after structural relaxation.

Values from the calculation:
ΔE to the lowest computed polymorph	0.0	kJ/mol of formula units

The structure in CIF format:
```
data_Ho3CoRh
_symmetry_space_group_name_H-M 'P 1'
_symmetry_Int_Tables_number 1
_symmetry_space_group_name_Hall 'P 1'
_cell_length_a 3.896
_cell_length_b 7.512
_cell_length_c 8.102
_cell_angle_alpha 109.47
_cell_angle_beta 90.00
_cell_angle_gamma 90.00
loop_
_atom_site_label
_atom_site_fract_x
_atom_site_fract_y
_atom_site_fract_z
Ho1 0.250 0.911 0.765
Ho2 0.250 0.359 0.597
Ho3 0.750 0.641 0.403
Ho4 0.750 0.089 0.235
Ho5 0.250 0.690 0.074
Ho6 0.750 0.310 0.926
Co1 0.250 0.948 0.424
Co2 0.750 0.052 0.576
Rh1 0.250 0.360 0.196
Rh2 0.750 0.640 0.804
```